Density functional theory data (GGA-PBE) for a geometry-optimized Sr2Ge2Cl structure.

abc: 8.301 8.301 4.545
angles: 90.00 90.00 90.00
Fractional positions:
Sr  0.188  0.312  0.000
Sr  0.312  0.812  0.000
Sr  0.688  0.188  0.000
Sr  0.812  0.688  0.000
Ge  0.099  0.599  0.500
Ge  0.401  0.099  0.500
Ge  0.599  0.901  0.500
Ge  0.901  0.401  0.500
Cl  0.000  0.000  0.000
Cl  0.500  0.500  0.000

E above lowest polymorph = 0.36 eV per formula unit
Formation energy (no corrections) = -4.9 eV per formula unit
Crystal system = tetragonal
D(E_F) = 1.927 states/eV/cell
Total energy = -38.76 eV per cell


Density functional theory data (GGA-PBE) for a geometry-optimized SrGeCl2 structure.

abc: 7.419 7.419 7.419
angles: 90.00 90.00 90.00
Fractional positions:
Sr  0.000  0.000  0.000
Sr  0.000  0.500  0.500
Sr  0.500  0.000  0.500
Sr  0.500  0.500  0.000
Ge  0.000  0.000  0.500
Ge  0.000  0.500  0.000
Ge  0.500  0.000  0.000
Ge  0.500  0.500  0.500
Cl  0.250  0.250  0.250
Cl  0.250  0.250  0.750
Cl  0.250  0.750  0.250
Cl  0.250  0.750  0.750
Cl  0.750  0.250  0.250
Cl  0.750  0.250  0.750
Cl  0.750  0.750  0.250
Cl  0.750  0.750  0.750

E above lowest polymorph = 0.22 eV per formula unit
Formation energy (no corrections) = -3.7 eV per formula unit
Crystal system = cubic
D(E_F) = 16.698 states/eV/cell
Total energy = -54.65 eV per cell


Density functional theory data (GGA-PBE) for a geometry-optimized SrGeCl2 structure.

abc: 5.063 5.063 18.564
angles: 90.00 90.00 90.00
Fractional positions:
Sr  0.000  0.000  0.000
Sr  0.000  0.500  0.250
Sr  0.500  0.000  0.750
Sr  0.500  0.500  0.500
Ge  0.000  0.000  0.500
Ge  0.000  0.500  0.750
Ge  0.500  0.000  0.250
Ge  0.500  0.500  0.000
Cl  0.244  0.250  0.625
Cl  0.250  0.744  0.875
Cl  0.250  0.756  0.375
Cl  0.256  0.250  0.125
Cl  0.744  0.750  0.125
Cl  0.750  0.244  0.375
Cl  0.750  0.256  0.875
Cl  0.756  0.750  0.625

E above lowest polymorph = 0.00 eV per formula unit
Formation energy (no corrections) = -3.9 eV per formula unit
Crystal system = tetragonal
D(E_F) = 8.371 states/eV/cell
Total energy = -55.53 eV per cell


Density functional theory data (GGA-PBE) for a geometry-optimized SrGe2Cl2 structure.

abc: 4.833 4.833 11.518
angles: 90.00 90.00 90.00
Fractional positions:
Sr  0.000  0.000  0.000
Sr  0.500  0.500  0.500
Ge  0.000  0.000  0.401
Ge  0.000  0.000  0.599
Ge  0.500  0.500  0.099
Ge  0.500  0.500  0.901
Cl  0.000  0.500  0.250
Cl  0.000  0.500  0.750
Cl  0.500  0.000  0.250
Cl  0.500  0.000  0.750

E above lowest polymorph = 0.49 eV per formula unit
Formation energy (no corrections) = -2.2 eV per formula unit
Crystal system = tetragonal
D(E_F) = 6.441 states/eV/cell
Total energy = -33.64 eV per cell


Density functional theory data (GGA-PBE) for a geometry-optimized SrGe3Cl structure.

abc: 5.887 5.887 5.887
angles: 90.00 90.00 90.00
Fractional positions:
Sr  0.000  0.000  0.000
Ge  0.000  0.000  0.500
Ge  0.000  0.500  0.000
Ge  0.500  0.000  0.000
Cl  0.500  0.500  0.500

E above lowest polymorph = 4.45 eV per formula unit
Formation energy (no corrections) = 5.5 eV per formula unit
Crystal system = cubic
D(E_F) = 9.920 states/eV/cell
Total energy = -11.85 eV per cell


Density functional theory data (GGA-PBE) for a geometry-optimized Sr2GeCl6 structure.

abc: 6.965 7.372 11.718
angles: 90.00 119.35 90.00
Fractional positions:
Sr  0.181  0.098  0.228
Sr  0.181  0.402  0.728
Sr  0.819  0.598  0.272
Sr  0.819  0.902  0.772
Ge  0.500  0.000  0.000
Ge  0.500  0.500  0.500
Cl  0.132  0.184  0.943
Cl  0.132  0.316  0.443
Cl  0.239  0.700  0.912
Cl  0.239  0.800  0.412
Cl  0.424  0.066  0.760
Cl  0.424  0.434  0.260
Cl  0.576  0.566  0.740
Cl  0.576  0.934  0.240
Cl  0.761  0.200  0.588
Cl  0.761  0.300  0.088
Cl  0.868  0.684  0.557
Cl  0.868  0.816  0.057

E above lowest polymorph = 0.00 eV per formula unit
Formation energy (no corrections) = -17.0 eV per formula unit
Crystal system = monoclinic
D(E_F) = 0.000 states/eV/cell
Total energy = -72.16 eV per cell